No. 1
Material: AgHgGeBi
Method: DFT, PBE
State: relaxed

Lattice parameters (Å, degrees): 5.1320 5.1320 5.1320 60.00 60.00 60.00
Last column: nearest neighbours and their distance in Å.
Fractional coordinates of all 4 atoms:
Ag1 0.5000 0.5000 0.5000  4 Hg 3.14, 4 Bi 3.14
Bi1 0.7500 0.7500 0.7500  4 Ag 3.14, 4 Ge 3.14
Hg1 0.2500 0.2500 0.2500  4 Ge 3.14, 4 Ag 3.14
Ge1 0.0000 0.0000 0.0000  4 Hg 3.14, 4 Bi 3.14

Properties
SG = No. 216
Total magnetization = 0.000 Bohr magnetons per cell
DFT formation energy = 0.198 eV/atom
D(E_F) = 1.05 states/eV/cell
V = 23.9 Å³/atom
Calculated density = 10.3 g/cm3

No. 2
Material: LiAgGeBi
Method: DFT, PBE
State: relaxed

Lattice parameters (Å, degrees): 4.9322 4.9322 4.9322 60.00 60.00 60.00
Last column: nearest neighbours and their distance in Å.
Fractional coordinates of all 4 atoms:
Ge1 0.2500 0.2500 0.2500  4 Li 3.02, 4 Ag 3.02
Bi1 0.7500 0.7500 0.7500  4 Li 3.02, 4 Ag 3.02
Ag1 0.5000 0.5000 0.5000  4 Ge 3.02, 4 Bi 3.02
Li1 0.0000 0.0000 0.0000  4 Bi 3.02, 4 Ge 3.02

Properties
SG = No. 216
Total magnetization = 0.000 Bohr magnetons per cell
DFT formation energy = -0.030 eV/atom
D(E_F) = 2.02 states/eV/cell
V = 21.2 Å³/atom
Calculated density = 7.8 g/cm3